[1]
The following is a DFT calculation (PBEsol) of crystalline ZnOsF2 at its relaxed geometry.

```
ZnOsF2
1.0
-1.696 -1.034 -3.597
1.663 -2.993 -2.271
-1.942 -3.599 -0.396
Zn Os F
1 1 2
Direct
0.000 0.000 0.000
0.500 0.500 0.500
0.250 0.250 0.250
0.750 0.750 0.750
```

Properties
Raw formation energy in eV per atom: 0.235
Space group: Fm-3m, No. 225
M_tot in μB/cell: 2.85
N(E_F) in states/eV/f.u.: 1.154

=====

[2]
The following is a DFT calculation (PBEsol) of crystalline ZrOsF3 at its relaxed geometry.

```
ZrOsF3
1.0
-3.916 -0.093 -1.496
0.832 -3.616 -1.954
-1.247 -2.122 3.395
Os Zr F
1 1 3
Direct
0.000 0.000 0.000
0.500 0.500 0.500
0.000 0.500 0.000
0.000 0.000 0.500
0.500 0.000 0.000
```

Properties
Raw formation energy in eV per atom: -0.163
Space group: Pm-3m, No. 221
M_tot in μB/cell: 1.43
N(E_F) in states/eV/f.u.: 3.910

=====

[3]
The following is a DFT calculation (PBEsol) of crystalline PF5 at its relaxed geometry.

```
PF5
1.0
5.574 0.000 0.000
-2.787 4.827 0.000
0.000 0.000 6.228
F P
10 2
Direct
0.667 0.333 0.493
0.333 0.667 0.993
0.333 0.667 0.507
0.667 0.333 0.007
0.827 0.173 0.750
0.345 0.173 0.750
0.827 0.655 0.750
0.173 0.827 0.250
0.655 0.827 0.250
0.173 0.345 0.250
0.667 0.333 0.750
0.333 0.667 0.250
```

Properties
Raw formation energy in eV per atom: -2.616
Space group: P6_3/mmc, No. 194
M_tot in μB/cell: 0.04
N(E_F) in states/eV/f.u.: 0.000

=====

[4]
The following is a DFT calculation (PBEsol) of crystalline PPbF2 at its relaxed geometry.

```
PPbF2
1.0
4.009 0.000 0.000
0.000 4.009 0.000
-2.005 -2.005 7.922
Pb P F
2 2 4
Direct
0.250 0.750 0.500
0.000 0.000 0.000
0.750 0.250 0.500
0.500 0.500 0.000
0.413 0.875 0.250
0.837 0.375 0.250
0.125 0.163 0.750
0.625 0.587 0.750
```

Properties
Raw formation energy in eV per atom: -0.980
Space group: I-42d, No. 122
M_tot in μB/cell: 0.00
N(E_F) in states/eV/f.u.: 1.086

=====

[5]
The following is a DFT calculation (PBEsol) of crystalline PPb2F at its relaxed geometry.

```
PPb2F
1.0
4.872 0.000 0.000
2.436 4.219 0.000
2.436 1.406 3.978
Pb P F
2 1 1
Direct
0.250 0.250 0.250
0.750 0.750 0.750
0.500 0.500 0.500
0.000 0.000 0.000
```

Properties
Raw formation energy in eV per atom: -0.670
Space group: Fm-3m, No. 225
M_tot in μB/cell: 0.00
N(E_F) in states/eV/f.u.: 0.840

=====

[6]
The following is a DFT calculation (PBEsol) of crystalline P2PbSF at its relaxed geometry.

```
P2PbSF
1.0
5.050 0.000 0.000
0.000 5.247 0.000
0.000 0.000 5.247
Pb P S F
1 2 1 1
Direct
0.000 0.000 0.000
0.000 0.000 0.500
0.000 0.500 0.000
0.500 0.000 0.000
0.500 0.500 0.500
```

Properties
Raw formation energy in eV per atom: 1.219
Space group: P4/mmm, No. 123
M_tot in μB/cell: 1.59
N(E_F) in states/eV/f.u.: 6.518

=====

[7]
The following is a DFT calculation (PBEsol) of crystalline P2PdF at its relaxed geometry.

```
P2PdF
1.0
-0.562 -1.522 -3.102
3.183 0.996 -1.066
2.131 -7.383 5.212
P Pd F
4 2 2
Direct
0.326 0.875 0.250
0.924 0.375 0.250
0.125 0.076 0.750
0.625 0.674 0.750
0.250 0.750 0.500
0.000 0.000 0.000
0.750 0.250 0.500
0.500 0.500 0.000
```

Properties
Raw formation energy in eV per atom: -0.272
Space group: I-42d, No. 122
M_tot in μB/cell: 0.00
N(E_F) in states/eV/f.u.: 1.619

=====

[8]
The following is a DFT calculation (PBEsol) of crystalline PPdF2 at its relaxed geometry.

```
PPdF2
1.0
-3.115 2.464 -0.852
-1.327 0.349 -3.823
-3.598 -1.564 -1.052
P Pd F
1 1 2
Direct
0.000 0.000 0.000
0.500 0.500 0.500
0.250 0.250 0.250
0.750 0.750 0.750
```

Properties
Raw formation energy in eV per atom: -0.215
Space group: Fm-3m, No. 225
M_tot in μB/cell: 0.00
N(E_F) in states/eV/f.u.: 2.865